1.
# BiIrW3 PBE optimized geometry
data_BiIrW3
_chemical_formula_sum 'Bi1 Ir1 W3'
_cell_length_a 4.831
_cell_length_b 4.831
_cell_length_c 4.831
_cell_angle_alpha 90.00
_cell_angle_beta 90.00
_cell_angle_gamma 90.00
_symmetry_space_group_name_H-M 'P m -3 m'
_symmetry_Int_Tables_number 221
_symmetry_space_group_name_Hall '-P 4 2 3'
loop_
_atom_site_label
_atom_site_type_symbol
_atom_site_fract_x
_atom_site_fract_y
_atom_site_fract_z
Bi1 Bi 0.000 0.000 0.000
Ir1 Ir 0.500 0.500 0.500
W1 W 0.000 0.500 0.500
# * uncorrected energy: -8.55 eV per atom
# * DFT formation energy: 8.859 eV/f.u.
# * E above lowest polymorph: 0 meV/atom
# * total moment: 0.001 μB/atom


2.
# RbNaTlHg2 PBE optimized geometry
data_RbNaTlHg2
_chemical_formula_sum 'Rb1 Na1 Tl1 Hg2'
_cell_length_a 5.875
_cell_length_b 5.875
_cell_length_c 5.993
_cell_angle_alpha 90.00
_cell_angle_beta 90.00
_cell_angle_gamma 90.00
_symmetry_space_group_name_H-M 'P 4/m m m'
_symmetry_Int_Tables_number 123
_symmetry_space_group_name_Hall '-P 4 2'
loop_
_atom_site_label
_atom_site_type_symbol
_atom_site_fract_x
_atom_site_fract_y
_atom_site_fract_z
Rb1 Rb 0.000 0.000 0.000
Na1 Na 0.500 0.500 0.000
Tl1 Tl 0.500 0.500 0.500
Hg1 Hg 0.000 0.500 0.500
# * uncorrected energy: -1.11 eV per atom
# * DFT formation energy: -0.303 eV/f.u.
# * E above lowest polymorph: 126 meV/atom
# * total moment: 0.000 μB/atom